(1)
This record from the Alexandria database describes a relaxed La3SbW crystal. The functional is PBEsol.

Lattice parameters (Å, degrees): 5.856 5.856 5.856 90.00 90.00 90.00
Atoms (fractional coordinates):
La1 0.000 0.000 0.500
La2 0.000 0.500 0.000
La3 0.500 0.000 0.000
Sb1 0.000 0.000 0.000
W1 0.500 0.500 0.500

Values from the calculation:
formation energy without anion corrections = 1.134 eV per atom
DFT total energy = -5.75 eV/atom

(2)
This record from the Alexandria database describes a relaxed LaY3Sb crystal. The functional is PBEsol.

Lattice parameters (Å, degrees): 5.447 5.447 5.447 90.00 90.00 90.00
Atoms (fractional coordinates):
La1 0.000 0.000 0.000
Y1 0.000 0.000 0.500
Y2 0.000 0.500 0.000
Y3 0.500 0.000 0.000
Sb1 0.500 0.500 0.500

Values from the calculation:
formation energy without anion corrections = 0.670 eV per atom
excess energy over the best structure of this formula in the dataset = 0.660 eV/atom
DFT total energy = -5.40 eV/atom

(3)
This record from the Alexandria database describes a relaxed LaY3Sb crystal. The functional is PBEsol.

Lattice parameters (Å, degrees): 5.688 5.688 5.688 90.00 90.00 90.00
Atoms (fractional coordinates):
La1 0.000 0.000 0.000
Y1 0.000 0.500 0.500
Y2 0.500 0.000 0.500
Y3 0.500 0.500 0.000
Sb1 0.500 0.500 0.500

Values from the calculation:
formation energy without anion corrections = 0.010 eV per atom
excess energy over the best structure of this formula in the dataset = 0.000 eV/atom
DFT total energy = -6.06 eV/atom

(4)
This record from the Alexandria database describes a relaxed La2YSb2 crystal. The functional is PBEsol.

Lattice parameters (Å, degrees): 8.322 8.322 4.367 90.00 90.00 90.00
Atoms (fractional coordinates):
La1 0.153 0.347 0.000
La2 0.347 0.847 0.000
La3 0.653 0.153 0.000
La4 0.847 0.653 0.000
Y1 0.000 0.000 0.500
Y2 0.500 0.500 0.500
Sb1 0.151 0.651 0.500
Sb2 0.349 0.151 0.500
Sb3 0.651 0.849 0.500
Sb4 0.849 0.349 0.500

Values from the calculation:
formation energy without anion corrections = -1.069 eV per atom
DFT total energy = -6.40 eV/atom

(5)
This record from the Alexandria database describes a relaxed La2YSb crystal. The functional is PBEsol.

Lattice parameters (Å, degrees): 5.906 5.906 3.532 90.00 90.00 109.86
Atoms (fractional coordinates):
La1 0.000 0.500 0.000
La2 0.500 0.000 0.000
Y1 0.000 0.000 0.500
Sb1 0.500 0.500 0.500

Values from the calculation:
formation energy without anion corrections = -0.506 eV per atom
DFT total energy = -6.02 eV/atom

(6)
This record from the Alexandria database describes a relaxed La2YSb crystal. The functional is PBEsol.

Lattice parameters (Å, degrees): 9.634 9.634 9.634 24.79 24.79 24.79
Atoms (fractional coordinates):
La1 0.239 0.239 0.239
La2 0.761 0.761 0.761
Y1 0.000 0.000 0.000
Sb1 0.500 0.500 0.500

Values from the calculation:
formation energy without anion corrections = -0.336 eV per atom
DFT total energy = -5.85 eV/atom

(7)
This record from the Alexandria database describes a relaxed LaYSb3 crystal. The functional is PBEsol.

Lattice parameters (Å, degrees): 5.583 5.583 5.583 90.00 90.00 90.00
Atoms (fractional coordinates):
La1 0.000 0.000 0.000
Y1 0.500 0.500 0.500
Sb1 0.000 0.500 0.500
Sb2 0.500 0.000 0.500
Sb3 0.500 0.500 0.000

Values from the calculation:
formation energy without anion corrections = -0.194 eV per atom
DFT total energy = -5.36 eV/atom

(8)
This record from the Alexandria database describes a relaxed La2YSb crystal. The functional is PBEsol.

Lattice parameters (Å, degrees): 10.034 10.034 10.034 23.05 23.05 23.05
Atoms (fractional coordinates):
La1 0.000 0.000 0.000
La2 0.234 0.234 0.234
Y1 0.468 0.468 0.468
Sb1 0.738 0.738 0.738

Values from the calculation:
formation energy without anion corrections = -0.381 eV per atom
DFT total energy = -5.90 eV/atom

(9)
This record from the Alexandria database describes a relaxed La2ZnSb4 crystal. The functional is PBEsol.

Lattice parameters (Å, degrees): 4.396 4.396 9.971 90.00 90.00 90.00
Atoms (fractional coordinates):
La1 0.000 0.500 0.245
La2 0.500 0.000 0.755
Zn1 0.500 0.500 0.000
Sb1 0.000 0.000 0.500
Sb2 0.000 0.500 0.849
Sb3 0.500 0.000 0.151
Sb4 0.500 0.500 0.500

Values from the calculation:
formation energy without anion corrections = -0.819 eV per atom
DFT total energy = -5.18 eV/atom

(10)
This record from the Alexandria database describes a relaxed LaZn2Sb crystal. The functional is PBEsol.

Lattice parameters (Å, degrees): 3.652 3.652 6.926 90.00 90.00 99.11
Atoms (fractional coordinates):
La1 0.000 0.000 0.000
Zn1 0.000 0.000 0.467
Zn2 0.500 0.500 0.299
Sb1 0.500 0.500 0.700

Values from the calculation:
formation energy without anion corrections = -0.283 eV per atom
DFT total energy = -3.55 eV/atom

(11)
This record from the Alexandria database describes a relaxed La2ZnSb crystal. The functional is PBEsol.

Lattice parameters (Å, degrees): 7.984 7.984 7.984 32.00 32.00 32.00
Atoms (fractional coordinates):
La1 0.249 0.249 0.249
La2 0.751 0.751 0.751
Zn1 0.000 0.000 0.000
Sb1 0.500 0.500 0.500

Values from the calculation:
formation energy without anion corrections = -0.569 eV per atom
excess energy over the best structure of this formula in the dataset = 0.150 eV/atom
DFT total energy = -4.78 eV/atom

(12)
This record from the Alexandria database describes a relaxed La2ZnSb crystal. The functional is PBEsol.

Lattice parameters (Å, degrees): 4.306 6.265 6.265 42.40 90.00 90.00
Atoms (fractional coordinates):
La1 0.000 0.000 0.000
La2 0.500 0.287 0.287
Zn1 0.000 0.728 0.728
Sb1 0.500 0.572 0.572

Values from the calculation:
formation energy without anion corrections = -0.718 eV per atom
excess energy over the best structure of this formula in the dataset = 0.000 eV/atom
DFT total energy = -4.93 eV/atom

(13)
This record from the Alexandria database describes a relaxed LaZn2Sb crystal. The functional is PBEsol.

Lattice parameters (Å, degrees): 3.401 3.887 6.766 90.00 90.00 90.00
Atoms (fractional coordinates):
La1 0.000 0.000 0.000
Zn1 0.500 0.500 0.290
Zn2 0.500 0.500 0.710
Sb1 0.000 0.000 0.500

Values from the calculation:
formation energy without anion corrections = -0.243 eV per atom
DFT total energy = -3.51 eV/atom

(14)
This record from the Alexandria database describes a relaxed La6ZnSb15 crystal. The functional is PBEsol.

Lattice parameters (Å, degrees): 12.532 12.532 4.305 99.88 99.88 101.16
Atoms (fractional coordinates):
La1 0.133 0.867 0.000
La2 0.193 0.541 0.867
La3 0.541 0.193 0.867
La4 0.590 0.862 0.726
La5 0.862 0.590 0.726
La6 0.867 0.133 0.000
Zn1 0.121 0.121 0.119
Sb1 0.012 0.012 0.511
Sb2 0.065 0.663 0.364
Sb3 0.118 0.334 0.226
Sb4 0.290 0.290 0.788
Sb5 0.334 0.118 0.226
Sb6 0.349 0.950 0.649
Sb7 0.376 0.784 0.081
Sb8 0.405 0.621 0.513
Sb9 0.480 0.480 0.981
Sb10 0.621 0.405 0.513
Sb11 0.663 0.065 0.364
Sb12 0.715 0.715 0.215
Sb13 0.784 0.376 0.081
Sb14 0.853 0.853 0.853
Sb15 0.950 0.349 0.649

Values from the calculation:
formation energy without anion corrections = -0.756 eV per atom
DFT total energy = -5.39 eV/atom

(15)
This record from the Alexandria database describes a relaxed LaZn2Sb crystal. The functional is PBEsol.

Lattice parameters (Å, degrees): 5.403 5.403 5.403 130.18 130.18 73.12
Atoms (fractional coordinates):
La1 0.000 0.000 0.000
Zn1 0.250 0.750 0.500
Zn2 0.750 0.250 0.500
Sb1 0.500 0.500 0.000

Values from the calculation:
formation energy without anion corrections = -0.354 eV per atom
DFT total energy = -3.62 eV/atom

(16)
This record from the Alexandria database describes a relaxed LaZn2Sb crystal. The functional is PBEsol.

Lattice parameters (Å, degrees): 6.056 6.056 6.056 140.09 138.88 58.64
Atoms (fractional coordinates):
La1 0.000 0.000 0.000
Zn1 0.587 0.587 0.000
Zn2 0.734 0.234 0.500
Sb1 0.266 0.766 0.500

Values from the calculation:
formation energy without anion corrections = -0.371 eV per atom
DFT total energy = -3.64 eV/atom

(17)
This record from the Alexandria database describes a relaxed LaZn2Sb crystal. The functional is PBEsol.

Lattice parameters (Å, degrees): 6.048 6.048 6.048 42.94 42.94 42.94
Atoms (fractional coordinates):
La1 0.000 0.000 0.000
Zn1 0.225 0.225 0.225
Zn2 0.548 0.548 0.548
Sb1 0.794 0.794 0.794

Values from the calculation:
formation energy without anion corrections = -0.503 eV per atom
DFT total energy = -3.77 eV/atom

(18)
This record from the Alexandria database describes a relaxed La2ZrSb crystal. The functional is PBEsol.

Lattice parameters (Å, degrees): 5.779 5.779 3.409 90.00 90.00 109.64
Atoms (fractional coordinates):
La1 0.000 0.500 0.000
La2 0.500 0.000 0.000
Zr1 0.000 0.000 0.500
Sb1 0.500 0.500 0.500

Values from the calculation:
formation energy without anion corrections = -0.429 eV per atom
DFT total energy = -6.51 eV/atom

(19)
This record from the Alexandria database describes a relaxed LaZr2Sb crystal. The functional is PBEsol.

Lattice parameters (Å, degrees): 5.457 5.457 4.991 107.72 107.72 42.84
Atoms (fractional coordinates):
La1 0.000 0.000 0.000
Zr1 0.238 0.238 0.811
Zr2 0.480 0.480 0.484
Sb1 0.753 0.753 0.347

Values from the calculation:
formation energy without anion corrections = -0.339 eV per atom
DFT total energy = -7.36 eV/atom

(20)
This record from the Alexandria database describes a relaxed La2ZrSb crystal. The functional is PBEsol.

Lattice parameters (Å, degrees): 5.287 5.287 5.287 60.00 60.00 60.00
Atoms (fractional coordinates):
La1 0.000 0.000 0.000
La2 0.250 0.250 0.250
Zr1 0.500 0.500 0.500
Sb1 0.750 0.750 0.750

Values from the calculation:
formation energy without anion corrections = -0.264 eV per atom
DFT total energy = -6.35 eV/atom